Density functional theory data (GGA+U) for a geometry-optimized Na2VF5 structure.

Computed properties:
Its total moment is 2.00 μB/f.u. The calculation puts the density of states at the Fermi level at 0.00 states/eV/cell. As for the calculated density: 2.840 g/cm3. As for the calculated total energy: -5.30 eV/atom.

Geometry as CIF:
```
data_Na2VF5
_space_group_name_H-M_alt 'C 1 2/c 1'
_space_group_IT_number 15
_space_group_name_Hall '-C 2yc'
_cell_length_a 11.6926
_cell_length_b 5.4812
_cell_length_c 7.5848
_cell_angle_alpha 90.00
_cell_angle_beta 112.57
_cell_angle_gamma 90.00
loop_
_atom_site_label
_atom_site_fract_x
_atom_site_fract_y
_atom_site_fract_z
Na1 0.1428 0.0076 0.2640
V1 0.0000 0.5000 0.0000
F1 0.0000 0.3469 0.2500
F2 0.0765 0.1970 0.9665
F3 0.1627 0.3546 0.6307
```